# 1
A plane-wave DFT calculation with GGA-PBE was carried out for crystalline Rb3ErCu2F9 at its relaxed geometry.

Output
Raw total energy = -4.845 eV per atom
ΔE_f (raw) = -2.6783 eV/atom
Crystal system = trigonal

Cell lengths 6.0908, 6.0908, 7.5698 Å; angles 90.00, 90.00, 120.00 degrees
With the nearest neighbours (Å) after each atom.
Element x y z (fractional)
Rb  0.0000  0.0000  0.0000  12 F 3.05-3.08
Rb  0.3333  0.6667  0.6935  12 F 2.91-3.24
Rb  0.6667  0.3333  0.3065  12 F 2.91-3.24
Er  0.0000  0.0000  0.5000  6 F 2.16
Cu  0.3333  0.6667  0.1513  6 F 2.10-2.24
Cu  0.6667  0.3333  0.8487  6 F 2.10-2.24
F  0.0000  0.5000  0.0000  2 Cu 2.10
F  0.1663  0.3326  0.3342  1 Er 2.16, 1 Cu 2.24
F  0.1663  0.8337  0.3342  1 Er 2.16, 1 Cu 2.24
F  0.3326  0.1663  0.6658  1 Er 2.16, 1 Cu 2.24
F  0.5000  0.0000  0.0000  2 Cu 2.10
F  0.5000  0.5000  0.0000  2 Cu 2.10
F  0.6674  0.8337  0.3342  1 Er 2.16, 1 Cu 2.24
F  0.8337  0.1663  0.6658  1 Er 2.16, 1 Cu 2.24
F  0.8337  0.6674  0.6658  1 Er 2.16, 1 Cu 2.24

# 2
A plane-wave DFT calculation with GGA-PBE was carried out for crystalline ErTl2CuF6 at its relaxed geometry.

Output
Raw total energy = -4.933 eV per atom
ΔE_f (raw) = -2.4709 eV/atom
Crystal system = trigonal

Cell lengths 6.3338, 6.3338, 5.8637 Å; angles 90.00, 90.00, 120.00 degrees
With the nearest neighbours (Å) after each atom.
Element x y z (fractional)
Er  0.0000  0.0000  0.0000  6 F 2.18
Tl  0.3333  0.6667  0.5291  3 F 2.62
Tl  0.6667  0.3333  0.4709  3 F 2.62
Cu  0.0000  0.0000  0.5000  6 F 2.26
F  0.1518  0.3036  0.2394  1 Er 2.18, 1 Cu 2.26
F  0.1518  0.8482  0.2394  1 Er 2.18, 1 Cu 2.26
F  0.3036  0.1518  0.7606  1 Er 2.18, 1 Cu 2.26
F  0.6964  0.8482  0.2394  1 Er 2.18, 1 Cu 2.26
F  0.8482  0.1518  0.7606  1 Er 2.18, 1 Cu 2.26
F  0.8482  0.6964  0.7606  1 Er 2.18, 1 Cu 2.26

# 3
A plane-wave DFT calculation with GGA-PBE was carried out for crystalline ErTlCuF6 at its relaxed geometry.

Output
Raw total energy = -5.193 eV per atom
ΔE_f (raw) = -2.7208 eV/atom
Crystal system = monoclinic

Cell lengths 5.6719, 5.6719, 5.9466 Å; angles 90.98, 90.98, 117.06 degrees
With the nearest neighbours (Å) after each atom.
Element x y z (fractional)
Er  0.0000  0.0000  0.0000  6 F 2.11-2.23
Tl  0.6707  0.3293  0.5000  6 F 2.68-2.95
Cu  0.3385  0.6615  0.0000  4 F 1.94-1.95
F  0.0317  0.2995  0.2309  1 Er 2.11
F  0.0628  0.6864  0.8186  1 Cu 1.94
F  0.3005  0.3466  0.8339  1 Cu 1.95
F  0.3136  0.9372  0.1814  1 Cu 1.94
F  0.6534  0.6995  0.1661  1 Cu 1.95
F  0.7005  0.9683  0.7691  1 Er 2.11

# 4
A plane-wave DFT calculation with GGA-PBE was carried out for crystalline ErTl3Cu2F9 at its relaxed geometry.

Output
Raw total energy = -4.712 eV per atom
ΔE_f (raw) = -2.2659 eV/atom
Crystal system = trigonal

Cell lengths 6.0809, 6.0809, 7.5985 Å; angles 90.00, 90.00, 120.00 degrees
With the nearest neighbours (Å) after each atom.
Element x y z (fractional)
Er  0.0000  0.0000  0.0000  6 F 2.17
Tl  0.0000  0.0000  0.5000  12 F 3.04-3.05
Tl  0.3333  0.6667  0.2146  9 F 2.79-3.06
Tl  0.6667  0.3333  0.7854  9 F 2.79-3.06
Cu  0.3333  0.6667  0.6608  6 F 2.14-2.19
Cu  0.6667  0.3333  0.3392  6 F 2.14-2.19
F  0.0000  0.5000  0.5000  2 Cu 2.14
F  0.1654  0.3307  0.8302  1 Er 2.17, 1 Cu 2.19
F  0.1654  0.8346  0.8302  1 Er 2.17, 1 Cu 2.19
F  0.3307  0.1654  0.1698  1 Er 2.17, 1 Cu 2.19
F  0.5000  0.0000  0.5000  2 Cu 2.14
F  0.5000  0.5000  0.5000  2 Cu 2.14
F  0.6693  0.8346  0.8302  1 Er 2.17, 1 Cu 2.19
F  0.8346  0.1654  0.1698  1 Er 2.17, 1 Cu 2.19
F  0.8346  0.6693  0.1698  1 Er 2.17, 1 Cu 2.19

# 5
A plane-wave DFT calculation with GGA-PBE was carried out for crystalline ErTl2Cu3F12 at its relaxed geometry.

Output
Raw total energy = -4.595 eV per atom
ΔE_f (raw) = -2.1485 eV/atom
Crystal system = trigonal

Cell lengths 7.4286, 7.4286, 7.4286 Å; angles 60.22, 60.22, 60.22 degrees
With the nearest neighbours (Å) after each atom.
Element x y z (fractional)
Er  0.0000  0.0000  0.0000  6 F 2.17
Tl  0.3938  0.3938  0.3938  9 F 3.15-3.35
Tl  0.6062  0.6062  0.6062  9 F 3.15-3.35
Cu  0.0000  0.0000  0.5000  6 F 1.97-1.99
Cu  0.0000  0.5000  0.0000  6 F 1.97-1.99
Cu  0.5000  0.0000  0.0000  6 F 1.97-1.99
F  0.0858  0.6930  0.6930  2 Cu 1.97
F  0.0885  0.0885  0.6484  1 Cu 1.99, 1 Er 2.17
F  0.0885  0.6484  0.0885  1 Cu 1.99, 1 Er 2.17
F  0.3070  0.3070  0.9142  2 Cu 1.97
F  0.3070  0.9142  0.3070  2 Cu 1.97
F  0.3516  0.9115  0.9115  1 Cu 1.99, 1 Er 2.17
F  0.6484  0.0885  0.0885  1 Cu 1.99, 1 Er 2.17
F  0.6930  0.0858  0.6930  2 Cu 1.97
F  0.6930  0.6930  0.0858  2 Cu 1.97
F  0.9115  0.3516  0.9115  1 Cu 1.99, 1 Er 2.17
F  0.9115  0.9115  0.3516  1 Cu 1.99, 1 Er 2.17
F  0.9142  0.3070  0.3070  2 Cu 1.97

# 6
A plane-wave DFT calculation with GGA-PBE was carried out for crystalline Er4FeCu at its relaxed geometry.

Output
Raw total energy = -5.213 eV per atom
Crystal system = monoclinic

Cell lengths 7.7105, 7.7105, 6.0553 Å; angles 106.97, 106.97, 111.10 degrees
With the nearest neighbours (Å) after each atom.
Element x y z (fractional)
Er  0.0561  0.7081  0.9110  2 Fe 2.81-2.83, 2 Cu 3.00-3.04
Er  0.2225  0.3546  0.7029  2 Fe 2.73-2.80, 2 Cu 2.96-3.04
Er  0.2919  0.9439  0.5890  2 Fe 2.81-2.83, 2 Cu 3.00-3.04
Er  0.3546  0.2225  0.2029  2 Fe 2.73-2.80, 2 Cu 2.96-3.04
Er  0.6454  0.7775  0.7971  2 Fe 2.73-2.80, 2 Cu 2.96-3.04
Er  0.7081  0.0561  0.4110  2 Fe 2.81-2.83, 2 Cu 3.00-3.04
Er  0.7775  0.6454  0.2971  2 Fe 2.73-2.80, 2 Cu 2.96-3.04
Er  0.9439  0.2919  0.0890  2 Fe 2.81-2.83, 2 Cu 3.00-3.04
Fe  0.0014  0.9986  0.2500  8 Er 2.73-2.83, 2 Fe 3.03
Fe  0.9986  0.0014  0.7500  8 Er 2.73-2.83, 2 Fe 3.03
Cu  0.3687  0.6313  0.2500  8 Er 2.96-3.04
Cu  0.6313  0.3687  0.7500  8 Er 2.96-3.04

# 7
A plane-wave DFT calculation with GGA-PBE was carried out for crystalline Er8FeCu2 at its relaxed geometry.

Output
Raw total energy = -4.912 eV per atom
Crystal system = monoclinic

Cell lengths 8.8230, 8.8230, 6.5866 Å; angles 106.90, 106.90, 33.26 degrees
With the nearest neighbours (Å) after each atom.
Element x y z (fractional)
Er  0.0314  0.0314  0.2966  1 Cu 2.79, 2 Fe 2.98
Er  0.1984  0.1984  0.8158  1 Cu 2.72
Er  0.3355  0.3355  0.5271  1 Cu 2.75, 1 Fe 2.84
Er  0.4096  0.4096  0.0660  1 Fe 2.80
Er  0.5904  0.5904  0.9340  1 Fe 2.80
Er  0.6645  0.6645  0.4729  1 Cu 2.75, 1 Fe 2.84
Er  0.8016  0.8016  0.1842  1 Cu 2.72
Er  0.9686  0.9686  0.7034  1 Cu 2.79, 2 Fe 2.98
Fe  0.5000  0.5000  0.5000  8 Er 2.80-2.98
Cu  0.1840  0.1840  0.2162  3 Er 2.72-2.79
Cu  0.8160  0.8160  0.7838  3 Er 2.72-2.79

# 8
A plane-wave DFT calculation with GGA-PBE was carried out for crystalline Er2FeCu at its relaxed geometry.

Output
Raw total energy = -5.510 eV per atom
Crystal system = tetragonal

Cell lengths 3.3174, 3.3174, 6.9121 Å; angles 90.00, 90.00, 90.00 degrees
With the nearest neighbours (Å) after each atom.
Element x y z (fractional)
Er  0.0000  0.0000  0.2334  4 Fe 2.85, 4 Cu 2.98
Er  0.0000  0.0000  0.7666  4 Fe 2.85, 4 Cu 2.98
Fe  0.5000  0.5000  0.0000  8 Er 2.85
Cu  0.5000  0.5000  0.5000  8 Er 2.98, 4 Cu 3.32

# 9
A plane-wave DFT calculation with GGA-PBE was carried out for crystalline Er8FeCu2 at its relaxed geometry.

Output
Raw total energy = -4.871 eV per atom
Crystal system = monoclinic

Cell lengths 9.0064, 9.0064, 5.5968 Å; angles 100.76, 100.76, 135.22 degrees
With the nearest neighbours (Å) after each atom.
Element x y z (fractional)
Er  0.0000  0.0000  0.0000  1 Fe 2.78, 1 Er 3.06
Er  0.1566  0.9260  0.5455  1 Fe 2.60, 1 Cu 2.85
Er  0.3486  0.5796  0.3107  1 Fe 2.60, 1 Cu 2.84
Er  0.5083  0.5083  0.8582  1 Fe 2.80, 1 Er 3.06
Er  0.5489  0.9589  0.9280  4 Cu 2.92-3.27
Er  0.5796  0.3486  0.3107  1 Fe 2.60, 1 Cu 2.84
Er  0.9260  0.1566  0.5455  1 Fe 2.60, 1 Cu 2.85
Er  0.9589  0.5489  0.9280  4 Cu 2.92-3.27
Fe  0.7523  0.7523  0.4310  6 Er 2.60-2.80
Cu  0.0076  0.4963  0.4265  6 Er 2.84-2.92
Cu  0.4963  0.0076  0.4265  6 Er 2.84-2.92

# 10
A plane-wave DFT calculation with GGA-PBE was carried out for crystalline Er2FeCu at its relaxed geometry.

Output
Raw total energy = -4.907 eV per atom
Crystal system = trigonal

Cell lengths 9.5231, 9.5231, 9.5231 Å; angles 20.16, 20.16, 20.16 degrees
With the nearest neighbours (Å) after each atom.
Element x y z (fractional)
Er  0.0997  0.0997  0.0997  3 Fe 2.69, 1 Cu 2.79
Er  0.9003  0.9003  0.9003  3 Fe 2.69, 1 Cu 2.79
Fe  0.5000  0.5000  0.5000  6 Er 2.69
Cu  0.0000  0.0000  0.0000  2 Er 2.79

# 11
A plane-wave DFT calculation with GGA-PBE was carried out for crystalline ErGa3FeCu at its relaxed geometry.

Output
Raw total energy = -4.508 eV per atom
Crystal system = orthorhombic

Cell lengths 6.7358, 6.7358, 5.5584 Å; angles 90.00, 90.00, 125.56 degrees
With the nearest neighbours (Å) after each atom.
Element x y z (fractional)
Er  0.2265  0.7735  0.7500  1 Fe 2.59
Er  0.7735  0.2265  0.2500  1 Fe 2.59
Ga  0.2024  0.2024  0.0000  2 Fe 2.40, 1 Ga 2.50, 2 Cu 2.58
Ga  0.2024  0.2024  0.5000  2 Fe 2.40, 1 Ga 2.50, 2 Cu 2.58
Ga  0.3528  0.6472  0.2500  1 Cu 2.45, 1 Fe 2.45
Ga  0.6472  0.3528  0.7500  1 Cu 2.45, 1 Fe 2.45
Ga  0.7976  0.7976  0.0000  2 Fe 2.40, 1 Ga 2.50, 2 Cu 2.58
Ga  0.7976  0.7976  0.5000  2 Fe 2.40, 1 Ga 2.50, 2 Cu 2.58
Fe  0.4424  0.5576  0.7500  5 Ga 2.40-2.45, 1 Er 2.59
Fe  0.5576  0.4424  0.2500  5 Ga 2.40-2.45, 1 Er 2.59
Cu  0.1487  0.8513  0.2500  5 Ga 2.45-2.58
Cu  0.8513  0.1487  0.7500  5 Ga 2.45-2.58

# 12
A plane-wave DFT calculation with GGA-PBE was carried out for crystalline LaErFeCu at its relaxed geometry.

Output
Raw total energy = -5.475 eV per atom
Crystal system = cubic

Cell lengths 4.9379, 4.9379, 4.9379 Å; angles 60.00, 60.00, 60.00 degrees
With the nearest neighbours (Å) after each atom.
Element x y z (fractional)
La  0.0000  0.0000  0.0000  4 Fe 3.02, 4 Cu 3.02
Er  0.5000  0.5000  0.5000  4 Fe 3.02, 4 Cu 3.02
Fe  0.7500  0.7500  0.7500  4 La 3.02, 4 Er 3.02
Cu  0.2500  0.2500  0.2500  4 Er 3.02, 4 La 3.02

# 13
A plane-wave DFT calculation with GGA-PBE was carried out for crystalline NdErFeCu at its relaxed geometry.

Output
Raw total energy = -5.434 eV per atom
Crystal system = cubic

Cell lengths 4.8980, 4.8980, 4.8980 Å; angles 60.00, 60.00, 60.00 degrees
With the nearest neighbours (Å) after each atom.
Element x y z (fractional)
Nd  0.0000  0.0000  0.0000  4 Fe 3.00, 4 Cu 3.00
Er  0.5000  0.5000  0.5000  4 Fe 3.00, 4 Cu 3.00
Fe  0.7500  0.7500  0.7500  4 Er 3.00, 4 Nd 3.00
Cu  0.2500  0.2500  0.2500  4 Nd 3.00, 4 Er 3.00